(1)
This record from the Alexandria database describes a relaxed AcTb4YS8 crystal. The functional is PBE.

Cell lengths 8.1995, 8.1995, 20.0659 Å; angles 90.00, 90.00, 120.00 degrees
Space group R3m (No. 160, hexagonal axes)
Asymmetric unit:
Ac 0.0000 0.0000 0.0000
Tb 0.0000 0.0000 0.2499
Tb 0.0057 0.5029 0.1257
Y 0.0000 0.0000 0.6229
S 0.0000 0.0000 0.3813
S 0.0000 0.0000 0.8600
S 0.0401 0.5201 0.3798
S 0.1754 0.3508 0.2064

N(E_F)   25.73 states/eV/cell
V   1168.3 Å³/cell
E   -6.37 eV per atom

---

(2)
This record from the Alexandria database describes a relaxed AcTbY2S4 crystal. The functional is PBE.

Cell lengths 6.990, 3.972, 7.017 Å; angles 90.00, 108.88, 90.00 degrees
Space group P2/m (No. 10)
Asymmetric unit:
Ac 0.000 0.000 0.000
Tb 0.500 0.500 0.000
Y 0.000 0.500 0.500
Y 0.500 0.000 0.500
S 0.259 0.000 0.740
S 0.269 0.500 0.270

N(E_F)   4.80 states/eV/cell
V   184.3 Å³/cell
E   -6.74 eV per atom

---

(3)
This record from the Alexandria database describes a relaxed Ac2TbYS6 crystal. The functional is PBE.

Cell lengths 6.966, 7.559, 12.317 Å; angles 90.00, 124.38, 90.00 degrees
Space group P2_1/c (No. 14)
Asymmetric unit:
Ac 0.219 0.087 0.250
Tb 0.500 0.000 0.000
Y 0.000 0.000 0.500
S 0.119 0.191 0.935
S 0.250 0.691 0.935
S 0.379 0.046 0.750

N(E_F)   0.00 states/eV/cell
V   535.3 Å³/cell
E   -6.56 eV per atom

---

(4)
This record from the Alexandria database describes a relaxed AcTbY4S8 crystal. The functional is PBE.

Cell lengths 8.1840, 8.1840, 20.0658 Å; angles 90.00, 90.00, 120.00 degrees
Space group R3m (No. 160, hexagonal axes)
Asymmetric unit:
Ac 0.0000 0.0000 0.0000
Tb 0.0000 0.0000 0.6231
Y 0.0000 0.0000 0.2502
Y 0.0061 0.5031 0.1260
S 0.0000 0.0000 0.3816
S 0.0000 0.0000 0.8599
S 0.0399 0.5199 0.3805
S 0.1751 0.3502 0.2063

N(E_F)   25.99 states/eV/cell
V   1163.9 Å³/cell
E   -6.77 eV per atom

---

(5)
This record from the Alexandria database describes a relaxed AcTbY2S6 crystal. The functional is PBE.

Cell lengths 7.0966, 7.0966, 18.6460 Å; angles 90.00, 90.00, 120.00 degrees
Space group R3 (No. 146, hexagonal axes)
Asymmetric unit:
Ac 0.0000 0.0000 0.0000
Tb 0.0000 0.0000 0.4869
Y 0.0000 0.0000 0.2828
Y 0.0000 0.0000 0.7895
S 0.0077 0.3094 0.8832
S 0.0262 0.6228 0.0508

N(E_F)   0.00 states/eV/cell
V   813.3 Å³/cell
E   -6.72 eV per atom

---

(6)
This record from the Alexandria database describes a relaxed Ac3Tb3YS8 crystal. The functional is PBE.

Cell lengths 8.0609, 8.0609, 20.6951 Å; angles 90.00, 90.00, 120.00 degrees
Space group R-3m (No. 166, hexagonal axes)
Asymmetric unit:
Ac 0.0000 0.5000 0.0000
Tb 0.0000 0.5000 0.5000
Y 0.0000 0.0000 0.5000
S 0.0000 0.0000 0.2406
S 0.0010 0.5005 0.7588

N(E_F)   21.50 states/eV/cell
V   1164.6 Å³/cell
E   -6.42 eV per atom

---

(7)
This record from the Alexandria database describes a relaxed Ac2TbZrS6 crystal. The functional is PBE.

Cell lengths 10.221, 10.439, 6.995 Å; angles 90.00, 133.17, 90.00 degrees
Space group Cm (No. 8)
Asymmetric unit:
Ac 0.000 0.214 0.000
Tb 0.079 0.500 0.496
Zr 0.107 0.000 0.533
S 0.103 0.245 0.526
S 0.256 0.000 0.345
S 0.314 0.500 0.031
S 0.408 0.500 0.634
S 0.423 0.000 0.993

N(E_F)   3.92 states/eV/cell
V   544.3 Å³/cell
E   -6.50 eV per atom

---

(8)
This record from the Alexandria database describes a relaxed Ac2TcS crystal. The functional is PBE.

Cell lengths 3.9059, 3.9059, 27.9384 Å; angles 90.00, 90.00, 120.00 degrees
Space group R-3m (No. 166, hexagonal axes)
Asymmetric unit:
Ac 0.0000 0.0000 0.0952
Tc 0.0000 0.0000 0.0000
S 0.0000 0.0000 0.5000

N(E_F)   15.20 states/eV/cell
V   369.1 Å³/cell
E   -5.59 eV per atom

---

The calculation returns the following energy relative to the elements, uncorrected values, one per record and in order: -1.934 -1.966 -2.153 -1.937 -2.078 -2.043 -1.882 0.086 eV per atom.